An optimized crystal structure of MgCuIr2, computed with PBEsol.

a b c (Å): 4.601 4.601 4.712
angles (deg): 100.49 100.49 34.57
Positions (direct):
Mg 0.000 0.000 0.000
Cu 0.500 0.500 0.500
Ir 0.245 0.245 0.739
Ir 0.755 0.755 0.261

Properties
- VASP energy (eV/atom) = -6.51
- formation enthalpy at 0 K (kJ per mole of atoms) = -8.2
- volume (Å³ per cell) = 55.5


An optimized crystal structure of MgCuIr, computed with PBEsol.

a b c (Å): 4.658 4.658 4.658
angles (deg): 145.87 131.61 60.54
Positions (direct):
Mg 0.000 0.000 0.000
Cu 0.674 0.674 0.000
Ir 0.330 0.330 0.000

Properties
- VASP energy (eV/atom) = -5.31
- formation enthalpy at 0 K (kJ per mole of atoms) = -1.9
- volume (Å³ per cell) = 42.0


An optimized crystal structure of MgCuIr2N, computed with PBEsol.

a b c (Å): 4.703 4.703 3.338
angles (deg): 90.00 90.00 90.00
Positions (direct):
Mg 0.000 0.000 0.000
Cu 0.500 0.500 0.500
Ir 0.000 0.500 0.500
Ir 0.500 0.000 0.500
N 0.500 0.500 0.000

Properties
- VASP energy (eV/atom) = -5.55
- volume (Å³ per cell) = 73.8
- raw formation energy (eV/atom) = 1.294


An optimized crystal structure of Mg2CuNiIr, computed with PBEsol.

a b c (Å): 4.860 4.860 4.414
angles (deg): 90.00 90.00 90.00
Positions (direct):
Mg 0.000 0.500 0.000
Mg 0.500 0.000 0.000
Cu 0.000 0.000 0.500
Ni 0.500 0.500 0.500
Ir 0.500 0.500 0.000

Properties
- VASP energy (eV/atom) = -3.94
- formation enthalpy at 0 K (kJ per mole of atoms) = 77.7
- volume (Å³ per cell) = 104.3


An optimized crystal structure of Mg2CuIrO6, computed with PBEsol.

a b c (Å): 4.845 5.072 9.546
angles (deg): 90.00 119.09 90.00
Positions (direct):
Mg 0.203 0.066 0.243
Mg 0.203 0.434 0.743
Mg 0.797 0.566 0.257
Mg 0.797 0.934 0.757
Cu 0.000 0.000 0.500
Cu 0.000 0.500 0.000
Ir 0.500 0.000 0.000
Ir 0.500 0.500 0.500
O 0.116 0.204 0.928
O 0.116 0.296 0.428
O 0.199 0.701 0.902
O 0.199 0.799 0.402
O 0.460 0.089 0.796
O 0.460 0.411 0.296
O 0.540 0.589 0.704
O 0.540 0.911 0.204
O 0.801 0.201 0.598
O 0.801 0.299 0.098
O 0.884 0.704 0.572
O 0.884 0.796 0.072

Properties
- VASP energy (eV/atom) = -6.34
- volume (Å³ per cell) = 205.0
- raw formation energy (eV/atom) = -1.432


An optimized crystal structure of Mn3CuIr, computed with PBEsol.

a b c (Å): 4.708 4.708 4.708
angles (deg): 90.00 90.00 90.00
Positions (direct):
Mn 0.000 0.000 0.500
Mn 0.000 0.500 0.000
Mn 0.500 0.000 0.000
Cu 0.500 0.500 0.500
Ir 0.000 0.000 0.000

Properties
- VASP energy (eV/atom) = -7.26
- formation enthalpy at 0 K (kJ per mole of atoms) = 138.3
- volume (Å³ per cell) = 104.4


An optimized crystal structure of MnCuIr2, computed with PBEsol.

a b c (Å): 4.961 4.961 4.961
angles (deg): 146.14 129.76 61.96
Positions (direct):
Mn 0.000 0.000 0.000
Cu 0.233 0.733 0.500
Ir 0.484 0.484 0.000
Ir 0.754 0.254 0.500

Properties
- VASP energy (eV/atom) = -8.28
- formation enthalpy at 0 K (kJ per mole of atoms) = 14.7
- volume (Å³ per cell) = 51.8


An optimized crystal structure of MnCuIr2, computed with PBEsol.

a b c (Å): 4.442 4.442 4.442
angles (deg): 129.36 129.36 74.44
Positions (direct):
Mn 0.000 0.000 0.000
Cu 0.500 0.500 0.000
Ir 0.250 0.750 0.500
Ir 0.750 0.250 0.500

Properties
- VASP energy (eV/atom) = -8.44
- formation enthalpy at 0 K (kJ per mole of atoms) = -0.9
- volume (Å³ per cell) = 51.1


An optimized crystal structure of MnCuIrO2, computed with PBEsol.

a b c (Å): 3.685 3.685 5.560
angles (deg): 90.00 90.00 90.00
Positions (direct):
Mn 0.000 0.000 0.000
Cu 0.500 0.500 0.000
Ir 0.000 0.000 0.500
O 0.000 0.500 0.500
O 0.500 0.000 0.500

Properties
- VASP energy (eV/atom) = -6.62
- volume (Å³ per cell) = 75.5
- raw formation energy (eV/atom) = 0.262


An optimized crystal structure of CuMoIr2, computed with PBEsol.

a b c (Å): 2.710 3.871 5.245
angles (deg): 90.00 90.00 90.00
Positions (direct):
Cu 0.000 0.000 0.000
Mo 0.500 0.500 0.747
Ir 0.000 0.000 0.503
Ir 0.500 0.500 0.219

Properties
- VASP energy (eV/atom) = -8.98
- formation enthalpy at 0 K (kJ per mole of atoms) = -4.0
- volume (Å³ per cell) = 55.0


An optimized crystal structure of CuMoIr2, computed with PBEsol.

a b c (Å): 8.787 8.787 8.787
angles (deg): 17.81 17.81 17.81
Positions (direct):
Cu 0.000 0.000 0.000
Mo 0.500 0.500 0.500
Ir 0.251 0.251 0.251
Ir 0.749 0.749 0.749

Properties
- VASP energy (eV/atom) = -9.02
- formation enthalpy at 0 K (kJ per mole of atoms) = -7.7
- volume (Å³ per cell) = 55.4


An optimized crystal structure of CuMoIr2, computed with PBEsol.

a b c (Å): 4.293 4.293 4.293
angles (deg): 60.00 60.00 60.00
Positions (direct):
Cu 0.000 0.000 0.000
Mo 0.250 0.250 0.250
Ir 0.500 0.500 0.500
Ir 0.750 0.750 0.750

Properties
- VASP energy (eV/atom) = -8.65
- formation enthalpy at 0 K (kJ per mole of atoms) = 28.1
- volume (Å³ per cell) = 55.9